(1)
ZnInP2S (PBE, optimized geometry); size of the total moment = 0.8 μB/cell; DFT total energy = -3.114 eV/atom; uncorrected formation energy = 0.6778 eV/atom; energy above the lowest structure with this stoichiometry = 0.00 eV per formula unit; DOS(E_F) = 1.07 states/eV per atom
1.0
4.6990 0.0000 0.0000
0.0000 4.6990 0.0000
0.0000 0.0000 4.7826
S P Zn In
1 2 1 1
direct
0.0000 0.0000 0.5000
0.5000 0.0000 0.0000
0.0000 0.5000 0.0000
0.0000 0.0000 0.0000
0.5000 0.5000 0.5000

(2)
ZnInPS (PBE, optimized geometry); size of the total moment = 0.0 μB/cell; DFT total energy = -3.841 eV/atom; uncorrected formation energy = -0.4534 eV/atom
1.0
-1.1865 -2.4636 -3.0124
0.2794 -1.4240 3.8008
-5.5596 3.7979 1.8303
P In Zn S
1 1 1 1
direct
0.4484 0.1093 0.5577
0.2042 0.4873 0.6915
0.2104 0.9881 0.1986
0.4660 0.6161 0.0820

(3)
ZrInPS2 (PBE, optimized geometry); size of the total moment = 0.0 μB/cell; DFT total energy = -5.377 eV/atom; uncorrected formation energy = -0.3872 eV/atom; energy above the lowest structure with this stoichiometry = 0.00 eV per formula unit; DOS(E_F) = 0.64 states/eV per atom
1.0
-2.8924 1.6037 -3.7306
-1.2651 -4.7082 -1.0431
-4.0131 0.3552 3.2642
In S P Zr
1 2 1 1
direct
0.5000 0.5000 0.5000
0.5000 0.0000 0.0000
0.0000 0.5000 0.0000
0.0000 0.0000 0.5000
0.0000 0.0000 0.0000

(4)
ZrInPS2 (PBE, optimized geometry); size of the total moment = 0.0 μB/cell; DFT total energy = -4.521 eV/atom; uncorrected formation energy = 0.4689 eV/atom; energy above the lowest structure with this stoichiometry = 4.28 eV per formula unit; DOS(E_F) = 0.67 states/eV per atom
1.0
-4.3781 2.1060 -0.1914
-0.9982 -2.4460 -4.0817
-1.9024 -3.7105 2.6888
P Zr S In
1 1 2 1
direct
0.0000 0.0000 0.5000
0.5000 0.5000 0.5000
0.5000 0.0000 0.0000
0.0000 0.5000 0.0000
0.0000 0.0000 0.0000

(5)
InSb2P2 (PBE, optimized geometry); size of the total moment = 0.0 μB/cell; DFT total energy = -4.093 eV/atom; uncorrected formation energy = 0.2675 eV/atom; energy above the lowest structure with this stoichiometry = 0.06 eV per formula unit; DOS(E_F) = 0.55 states/eV per atom
1.0
8.1293 0.0000 0.0000
0.0000 8.1293 0.0000
0.0000 0.0000 3.7022
In P Sb
2 4 4
direct
0.0000 0.0000 0.0000
0.5000 0.5000 0.0000
0.3107 0.8107 0.0000
0.8107 0.6893 0.0000
0.1893 0.3107 0.0000
0.6893 0.1893 0.0000
0.3462 0.1538 0.5000
0.6538 0.8462 0.5000
0.1538 0.6538 0.5000
0.8462 0.3462 0.5000

(6)
In2SbP2 (PBE, optimized geometry); size of the total moment = 0.0 μB/cell; DFT total energy = -3.877 eV/atom; uncorrected formation energy = 0.2066 eV/atom; energy above the lowest structure with this stoichiometry = 0.10 eV per formula unit; DOS(E_F) = 0.42 states/eV per atom
1.0
-3.4996 -6.6348 1.7045
6.8409 -3.2846 1.2599
-0.1772 1.0316 3.6517
In P Sb
4 4 2
direct
0.8555 0.3555 0.5000
0.3555 0.1445 0.5000
0.1445 0.6445 0.5000
0.6445 0.8555 0.5000
0.3321 0.8321 0.0000
0.1679 0.3321 0.0000
0.8321 0.6679 0.0000
0.6679 0.1679 0.0000
0.0000 0.0000 0.0000
0.5000 0.5000 0.0000

(7)
In3SbP (PBE, optimized geometry); size of the total moment = 0.0 μB/cell; DFT total energy = -3.322 eV/atom; uncorrected formation energy = 0.2276 eV/atom; energy above the lowest structure with this stoichiometry = 0.00 eV per formula unit; DOS(E_F) = 0.48 states/eV per atom
1.0
5.2179 0.0000 0.0000
0.0000 5.2179 0.0000
0.0000 0.0000 5.2179
In P Sb
3 1 1
direct
0.0000 0.5000 0.0000
0.5000 0.0000 0.0000
0.0000 0.0000 0.5000
0.0000 0.0000 0.0000
0.5000 0.5000 0.5000

(8)
In2Sb2P (PBE, optimized geometry); size of the total moment = 0.0 μB/cell; DFT total energy = -3.556 eV/atom; uncorrected formation energy = 0.2700 eV/atom; DOS(E_F) = 0.82 states/eV per atom
1.0
-0.3246 2.8249 -6.7394
-0.7355 -6.7244 -2.7831
-5.1425 0.3919 0.4120
In Sb P
4 4 2
direct
0.6740 0.8260 0.5000
0.3260 0.1740 0.5000
0.1740 0.6740 0.5000
0.8260 0.3260 0.5000
0.6476 0.1476 0.0000
0.1476 0.3524 0.0000
0.8524 0.6476 0.0000
0.3524 0.8524 0.0000
0.0000 0.0000 0.0000
0.5000 0.5000 0.0000

(9)
In4SbP (PBE, optimized geometry); size of the total moment = 0.0 μB/cell; DFT total energy = -2.940 eV/atom; uncorrected formation energy = 0.4743 eV/atom; DOS(E_F) = 1.01 states/eV per atom
1.0
0.0000 4.3185 4.3185
4.3185 0.0000 4.3185
4.3185 4.3185 0.0000
In Sb P
4 1 1
direct
0.8741 0.3753 0.3753
0.3753 0.8741 0.3753
0.3753 0.3753 0.3753
0.3753 0.3753 0.8741
0.0000 0.0000 0.0000
0.7500 0.7500 0.7500

(10)
InSb4P (PBE, optimized geometry); size of the total moment = 0.0 μB/cell; DFT total energy = -3.572 eV/atom; uncorrected formation energy = 0.5345 eV/atom; DOS(E_F) = 0.54 states/eV per atom
1.0
-1.5482 0.2768 5.9975
-5.7500 -1.4767 1.7887
-1.0108 -5.2227 3.1851
Sb P In
4 1 1
direct
0.8778 0.3741 0.3741
0.3741 0.3741 0.8778
0.3741 0.8778 0.3741
0.3741 0.3741 0.3741
0.0000 0.0000 0.0000
0.7500 0.7500 0.7500

(11)
In2SbP2 (PBE, optimized geometry); size of the total moment = 0.0 μB/cell; DFT total energy = -3.897 eV/atom; uncorrected formation energy = 0.1868 eV/atom; energy above the lowest structure with this stoichiometry = 0.00 eV per formula unit; DOS(E_F) = 0.39 states/eV per atom
1.0
-0.6515 3.1586 -0.9856
-1.8851 -1.1799 -2.5352
-9.6964 1.1788 4.4183
P Sb In
2 1 2
direct
0.7500 0.2500 0.5000
0.2500 0.7500 0.5000
0.0000 0.0000 0.0000
0.6201 0.6201 0.7597
0.3799 0.3799 0.2403

(12)
InSb2P2 (PBE, optimized geometry); size of the total moment = 0.0 μB/cell; DFT total energy = -4.105 eV/atom; uncorrected formation energy = 0.2553 eV/atom; energy above the lowest structure with this stoichiometry = 0.00 eV per formula unit; DOS(E_F) = 0.37 states/eV per atom
1.0
-3.3226 -3.5364 -1.5692
-0.6908 -1.4929 4.8272
-5.8720 0.8946 2.1302
In Sb P
1 2 2
direct
0.0000 0.0000 0.0000
0.3402 0.3402 0.3196
0.6598 0.6598 0.6804
0.7500 0.2500 0.5000
0.2500 0.7500 0.5000

(13)
In3SbP (PBE, optimized geometry); size of the total moment = 0.0 μB/cell; DFT total energy = -2.755 eV/atom; uncorrected formation energy = 0.7948 eV/atom; energy above the lowest structure with this stoichiometry = 2.84 eV per formula unit; DOS(E_F) = 0.59 states/eV per atom
1.0
-1.2588 0.6621 5.4505
-2.4684 -5.0632 0.0450
4.9044 -2.3784 1.4216
P In Sb
1 3 1
direct
0.5000 0.5000 0.5000
0.0000 0.5000 0.0000
0.0000 0.0000 0.5000
0.5000 0.0000 0.0000
0.0000 0.0000 0.0000

(14)
In12Sb5P3 (PBE, optimized geometry); size of the total moment = 0.0 μB/cell; DFT total energy = -3.327 eV/atom; uncorrected formation energy = 0.1581 eV/atom; DOS(E_F) = 0.45 states/eV per atom
1.0
14.8295 0.0000 0.0000
-4.9432 13.9814 0.0000
-4.9432 -6.9907 12.1082
In P Sb
48 12 20
direct
0.9282 0.0941 0.8577
0.8341 0.9059 0.2636
0.5718 0.9295 0.6659
0.9295 0.5718 0.1659
0.3577 0.9295 0.7636
0.0705 0.4282 0.8341
0.1423 0.4059 0.0718
0.9295 0.3577 0.2636
0.6659 0.2364 0.5941
0.7364 0.1423 0.0705
0.7364 0.5941 0.1659
0.0941 0.9282 0.3577
0.2636 0.4059 0.8341
0.7636 0.3341 0.9059
0.4295 0.7636 0.8577
0.6423 0.0705 0.2364
0.0718 0.1659 0.4295
0.0718 0.9059 0.1423
0.2636 0.8577 0.9295
0.6423 0.5718 0.9059
0.9059 0.0718 0.6423
0.5941 0.8577 0.4282
0.8577 0.5941 0.9282
0.3341 0.5705 0.4282
0.3577 0.4282 0.0941
0.4282 0.3577 0.5941
0.4059 0.2636 0.3341
0.3341 0.7636 0.4059
0.7636 0.4295 0.3577
0.2364 0.6659 0.0941
0.5705 0.2364 0.1423
0.5718 0.6423 0.4059
0.0705 0.6423 0.7364
0.6659 0.4295 0.5718
0.4282 0.0705 0.3341
0.9059 0.8341 0.7636
0.8341 0.9282 0.0705
0.1659 0.0718 0.9295
0.2364 0.5705 0.6423
0.8577 0.2636 0.4295
0.9282 0.8341 0.5705
0.1659 0.0941 0.7364
0.5941 0.7364 0.6659
0.4295 0.6659 0.0718
0.4059 0.1423 0.5718
0.0941 0.1659 0.2364
0.1423 0.7364 0.5705
0.5705 0.3341 0.9282
0.1250 0.2500 0.8750
0.6250 0.3750 0.7500
0.8750 0.1250 0.2500
0.3750 0.7500 0.6250
0.8750 0.7500 0.1250
0.7500 0.3750 0.1250
0.7500 0.8750 0.6250
0.1250 0.8750 0.7500
0.3750 0.6250 0.2500
0.2500 0.1250 0.3750
0.2500 0.6250 0.8750
0.6250 0.2500 0.3750
0.3750 0.2500 0.1250
0.7500 0.1250 0.8750
0.6250 0.7500 0.8750
0.0000 0.0000 0.0000
0.0000 0.5000 0.0000
0.5000 0.0000 0.5000
0.0000 0.5000 0.5000
0.6250 0.8750 0.2500
0.8750 0.6250 0.7500
0.1250 0.7500 0.3750
0.1250 0.3750 0.2500
0.7500 0.6250 0.3750
0.0000 0.0000 0.5000
0.5000 0.0000 0.0000
0.3750 0.1250 0.7500
0.8750 0.2500 0.6250
0.2500 0.3750 0.6250
0.5000 0.5000 0.0000
0.5000 0.5000 0.5000
0.2500 0.8750 0.1250

(15)
Sr2InSbP (PBE, optimized geometry); size of the total moment = 0.0 μB/cell; DFT total energy = -3.886 eV/atom; uncorrected formation energy = -0.7588 eV/atom; DOS(E_F) = 0.41 states/eV per atom
1.0
4.4340 0.0000 0.0000
0.0000 8.1548 0.2513
0.0000 -3.2099 9.1503
Sr Sb P In
4 2 2 2
direct
0.7500 0.8130 0.0402
0.7500 0.8082 0.6042
0.2500 0.1870 0.9598
0.2500 0.1918 0.3958
0.2500 0.7431 0.3174
0.7500 0.2569 0.6826
0.2500 0.8091 0.8167
0.7500 0.1909 0.1833
0.7500 0.5062 0.1966
0.2500 0.4938 0.8034

(16)
Sr2In2Sb2P (PBE, optimized geometry); size of the total moment = 0.0 μB/cell; DFT total energy = -3.786 eV/atom; uncorrected formation energy = -0.5727 eV/atom; DOS(E_F) = 0.18 states/eV per atom
1.0
4.2190 -0.0010 -0.0014
2.1058 6.3934 0.7366
-0.0013 2.3879 8.1586
In Sb Sr P
2 2 2 1
direct
0.7802 0.4410 0.8863
0.2198 0.5590 0.1137
0.7954 0.4060 0.4034
0.2046 0.5940 0.5966
0.4872 0.0244 0.7401
0.5128 0.9756 0.2599
0.0000 0.0000 0.0000

(17)
TaIn2SbP (PBE, optimized geometry); size of the total moment = 0.0 μB/cell; DFT total energy = -4.235 eV/atom; uncorrected formation energy = 1.1376 eV/atom; DOS(E_F) = 1.27 states/eV per atom
1.0
4.9321 0.0000 0.0000
0.0000 5.2517 0.0000
0.0000 0.0000 4.9321
Sb Ta In P
1 1 2 1
direct
0.0000 0.5000 0.0000
0.5000 0.5000 0.5000
0.0000 0.0000 0.5000
0.5000 0.0000 0.0000
0.0000 0.0000 0.0000

(18)
InSb2TeP (PBE, optimized geometry); size of the total moment = 0.0 μB/cell; DFT total energy = -3.457 eV/atom; uncorrected formation energy = 0.4503 eV/atom; energy above the lowest structure with this stoichiometry = 0.00 eV per formula unit; DOS(E_F) = 1.20 states/eV per atom
1.0
5.3645 0.0000 0.0000
0.0000 5.3645 0.0000
0.0000 0.0000 5.6859
Sb P Te In
2 1 1 1
direct
0.0000 0.5000 0.0000
0.5000 0.0000 0.0000
0.0000 0.0000 0.0000
0.0000 0.0000 0.5000
0.5000 0.5000 0.5000

(19)
InSb2TeP (PBE, optimized geometry); size of the total moment = 1.1 μB/cell; DFT total energy = -2.747 eV/atom; uncorrected formation energy = 1.1597 eV/atom; energy above the lowest structure with this stoichiometry = 3.55 eV per formula unit; DOS(E_F) = 1.07 states/eV per atom
1.0
-1.2169 2.9809 -4.7111
4.2253 -2.6527 -2.7699
-3.6122 -4.0513 -1.6304
Sb In P Te
2 1 1 1
direct
0.0000 0.5000 0.0000
0.5000 0.0000 0.0000
0.0000 0.0000 0.0000
0.5000 0.5000 0.5000
0.0000 0.0000 0.5000

(20)
Sc2InP2 (PBE, optimized geometry); size of the total moment = 0.0 μB/cell; DFT total energy = -5.967 eV/atom; energy above the lowest structure with this stoichiometry = 0.76 eV per formula unit; energy of formation from the pure elements = -0.72 eV per atom; DOS(E_F) = 0.66 states/eV per atom
1.0
4.6463 0.0000 0.0000
0.0000 4.6463 0.0000
2.3232 2.3232 4.7700
P Sc In
2 2 1
direct
0.6177 0.6177 0.7646
0.3823 0.3823 0.2354
0.2500 0.7500 0.5000
0.7500 0.2500 0.5000
0.0000 0.0000 0.0000

(21)
Sc2InP (PBE, optimized geometry); size of the total moment = 0.0 μB/cell; DFT total energy = -5.703 eV/atom; energy above the lowest structure with this stoichiometry = 1.72 eV per formula unit; energy of formation from the pure elements = -0.50 eV per atom; DOS(E_F) = 0.98 states/eV per atom
1.0
3.8722 0.0000 0.0000
0.0000 4.5125 0.0000
0.0000 0.0000 4.5477
P In Sc
1 1 2
direct
0.5000 0.0000 0.5000
0.5000 0.5000 0.0000
0.0000 0.5000 0.5000
0.0000 0.0000 0.0000

(22)
Sc2InP2 (PBE, optimized geometry); size of the total moment = 0.0 μB/cell; DFT total energy = -6.118 eV/atom; energy above the lowest structure with this stoichiometry = 0.00 eV per formula unit; energy of formation from the pure elements = -0.87 eV per atom; DOS(E_F) = 0.65 states/eV per atom
1.0
7.3554 0.0000 0.0000
0.0000 7.3554 0.0000
0.0000 0.0000 3.4948
Sc P In
4 4 2
direct
0.3482 0.1518 0.5000
0.1518 0.6518 0.5000
0.6518 0.8482 0.5000
0.8482 0.3482 0.5000
0.8535 0.6465 0.0000
0.3535 0.8535 0.0000
0.6465 0.1465 0.0000
0.1465 0.3535 0.0000
0.5000 0.5000 0.0000
0.0000 0.0000 0.0000

(23)
Sc2InP (PBE, optimized geometry); size of the total moment = 0.0 μB/cell; DFT total energy = -5.751 eV/atom; energy above the lowest structure with this stoichiometry = 1.52 eV per formula unit; energy of formation from the pure elements = -0.55 eV per atom; DOS(E_F) = 0.57 states/eV per atom
1.0
7.4588 0.0000 0.0000
0.0000 7.4588 0.0000
3.7294 3.7294 3.1834
P Sc In
2 4 2
direct
0.2500 0.7500 0.5000
0.5000 0.5000 0.0000
0.5845 0.1250 0.2500
0.8750 0.8345 0.7500
0.1655 0.6250 0.2500
0.3750 0.4155 0.7500
0.0000 0.0000 0.0000
0.7500 0.2500 0.5000